# HoPa4 GGA-PBE optimized geometry
# * spin magnetization: 0.077 μB per atom
# * energy of formation: 1.550 eV/atom
data_HoPa4
_space_group_name_H-M_alt 'P m -3 m'
_space_group_IT_number 221
_space_group_name_Hall '-P 4 2 3'
_cell_length_a 5.3571
_cell_length_b 5.3571
_cell_length_c 5.3571
_cell_angle_alpha 90.00
_cell_angle_beta 90.00
_cell_angle_gamma 90.00
loop_
_atom_site_label
_atom_site_type_symbol
_atom_site_fract_x
_atom_site_fract_y
_atom_site_fract_z
Ho1 Ho 0.0000 0.0000 0.0000
Pa1 Pa 0.0000 0.0000 0.5000
Pa2 Pa 0.5000 0.5000 0.5000

# Ho5Pa GGA-PBE optimized geometry
# * spin magnetization: 0.032 μB per atom
# * energy of formation: 0.135 eV/atom
data_Ho5Pa
_space_group_name_H-M_alt 'C m m m'
_space_group_IT_number 65
_space_group_name_Hall '-C 2 2'
_cell_length_a 4.9331
_cell_length_b 14.7714
_cell_length_c 4.8979
_cell_angle_alpha 90.00
_cell_angle_beta 90.00
_cell_angle_gamma 90.00
loop_
_atom_site_label
_atom_site_type_symbol
_atom_site_fract_x
_atom_site_fract_y
_atom_site_fract_z
Ho1 Ho 0.0000 0.0000 0.0000
Ho2 Ho 0.0000 0.1621 0.5000
Ho3 Ho 0.0000 0.3399 0.0000
Pa1 Pa 0.0000 0.5000 0.5000

# HoPaPb GGA-PBE optimized geometry
# * spin magnetization: 0.524 μB per atom
# * E above lowest polymorph: 108.3 meV/atom
# * energy of formation: 0.178 eV/atom
data_HoPaPb
_space_group_name_H-M_alt 'P 3 m 1'
_space_group_IT_number 156
_space_group_name_Hall 'P 3 -2"'
_cell_length_a 5.4248
_cell_length_b 5.4248
_cell_length_c 3.3393
_cell_angle_alpha 90.00
_cell_angle_beta 90.00
_cell_angle_gamma 120.00
loop_
_atom_site_label
_atom_site_type_symbol
_atom_site_fract_x
_atom_site_fract_y
_atom_site_fract_z
Ho1 Ho 0.0000 0.0000 0.0000
Pa1 Pa 0.6667 0.3333 0.5340
Pb1 Pb 0.3333 0.6667 0.2085

What did the second record say?
# Ho5Pa GGA-PBE optimized geometry
# * spin magnetization: 0.032 μB per atom
# * energy of formation: 0.135 eV/atom
data_Ho5Pa
_space_group_name_H-M_alt 'C m m m'
_space_group_IT_number 65
_space_group_name_Hall '-C 2 2'
_cell_length_a 4.9331
_cell_length_b 14.7714
_cell_length_c 4.8979
_cell_angle_alpha 90.00
_cell_angle_beta 90.00
_cell_angle_gamma 90.00
loop_
_atom_site_label
_atom_site_type_symbol
_atom_site_fract_x
_atom_site_fract_y
_atom_site_fract_z
Ho1 Ho 0.0000 0.0000 0.0000
Ho2 Ho 0.0000 0.1621 0.5000
Ho3 Ho 0.0000 0.3399 0.0000
Pa1 Pa 0.0000 0.5000 0.5000